1.
{"formula": "Cs2NaSbAu", "functional": "GGA-PBE", "state": "optimized geometry", "lattice_angstrom": [[7.029, 0.000, 0.000], [0.000, 7.029, 0.000], [0.000, 0.000, 5.311]], "species": ["Cs", "Cs", "Na", "Sb", "Au"], "fractional_positions": [[0.000, 0.500, 0.000], [0.500, 0.000, 0.000], [0.000, 0.000, 0.500], [0.500, 0.500, 0.500], [0.500, 0.500, 0.000]], "sg": "No. 123"}

2.
{"formula": "K4Np3MnSe8", "functional": "GGA-PBE", "state": "optimized geometry", "lattice_angstrom": [[7.316, -4.215, 0.000], [7.316, 4.215, 0.000], [-4.861, 0.000, 7.653]], "species": ["K", "K", "K", "K", "Np", "Np", "Np", "Mn", "Se", "Se", "Se", "Se", "Se", "Se", "Se", "Se"], "fractional_positions": [[0.000, 0.000, 0.000], [0.000, 0.500, 0.000], [0.500, 0.000, 0.000], [0.500, 0.500, 0.000], [0.000, 0.000, 0.500], [0.000, 0.500, 0.500], [0.500, 0.000, 0.500], [0.500, 0.500, 0.500], [0.237, 0.237, 0.708], [0.241, 0.730, 0.701], [0.269, 0.269, 0.300], [0.270, 0.759, 0.299], [0.730, 0.241, 0.701], [0.731, 0.731, 0.700], [0.759, 0.270, 0.299], [0.763, 0.763, 0.292]], "sg": "No. 12"}

3.
{"formula": "Na5W2N6", "functional": "GGA-PBE", "state": "optimized geometry", "lattice_angstrom": [[5.347, -3.033, 0.000], [5.347, 3.033, 0.000], [-1.057, 0.000, 14.343]], "species": ["Na", "Na", "Na", "Na", "Na", "Na", "Na", "Na", "Na", "Na", "W", "W", "W", "W", "N", "N", "N", "N", "N", "N", "N", "N", "N", "N", "N", "N"], "fractional_positions": [[0.069, 0.931, 0.750], [0.143, 0.661, 0.969], [0.330, 0.394, 0.286], [0.339, 0.857, 0.531], [0.394, 0.330, 0.786], [0.606, 0.670, 0.214], [0.661, 0.143, 0.469], [0.670, 0.606, 0.714], [0.857, 0.339, 0.031], [0.931, 0.069, 0.250], [0.124, 0.452, 0.588], [0.452, 0.124, 0.088], [0.548, 0.876, 0.912], [0.876, 0.548, 0.412], [0.100, 0.256, 0.673], [0.203, 0.285, 0.464], [0.256, 0.100, 0.173], [0.285, 0.203, 0.964], [0.334, 0.566, 0.636], [0.434, 0.666, 0.864], [0.566, 0.334, 0.136], [0.666, 0.434, 0.364], [0.715, 0.797, 0.036], [0.744, 0.900, 0.827], [0.797, 0.715, 0.536], [0.900, 0.744, 0.327]], "sg": "No. 15"}

What are the E_form (uncorrected) values for these records? In order: -0.15; -1.13; -0.24 eV/atom.